(1)
# SmNp5S6

An optimized crystal structure of SmNp5S6 (PBE-GGA, Alexandria).

Computed properties:
The density of states at the Fermi level is 44.5 states/eV per cell. As for the total energy: -111.71 eV per cell. For the energy relative to the elements, uncorrected, the calculation gives -1.46 eV per atom. The total moment comes out at 4.0 μB/f.u. The mass density comes out at 9.95 g/cm³.

POSCAR file:
```
SmNp5S6
1.0
3.383 -5.862 0.000
3.383 5.862 0.000
-2.256 0.000 6.427
Sm Np S
1 5 6
Direct
0.000 0.000 0.000
0.164 0.836 0.500
0.333 0.667 0.000
0.500 0.500 0.500
0.667 0.333 0.000
0.836 0.164 0.500
0.085 0.423 0.254
0.255 0.255 0.749
0.423 0.085 0.254
0.577 0.915 0.746
0.745 0.745 0.251
0.915 0.577 0.746
```

(2)
# SmNpS2

An optimized crystal structure of SmNpS2 (PBE-GGA, Alexandria).

Computed properties:
The density of states at the Fermi level is 8.1 states/eV per cell. As for the polymorph energy (0 for the lowest one): 0.000 eV per atom. As for the total energy: -32.73 eV per cell. For the energy relative to the elements, uncorrected, the calculation gives -1.70 eV per atom. The total moment comes out at 4.3 μB/f.u. The mass density comes out at 8.55 g/cm³.

POSCAR file:
```
SmNpS2
1.0
1.984 1.146 6.428
-1.984 1.146 6.428
0.000 -2.291 6.428
Sm Np S
1 1 2
Direct
0.000 0.000 0.000
0.500 0.500 0.500
0.247 0.247 0.247
0.753 0.753 0.753
```